Below is a relaxed structure of Th3ReC3, with properties calculated at the PBE level.

Results
The value obtained for the volume is 18.4 A^3/atom. The calculation puts the total DFT energy (no corrections) at -9.196 eV per atom.

Cell lengths 9.0089, 10.6893, 5.3636 Å; angles 90.00, 90.00, 90.00 degrees
With the nearest neighbours (Å) after each atom.
Space group Cmcm (No. 63)
Inequivalent atoms, fractional coordinates:
Th1 0.0000 0.1117 0.2500 [4 per cell]  5 C 2.49-2.68
Th2 0.2096 0.3782 0.2500 [8 per cell]  5 C 2.62-2.76
Re1 0.0000 0.3081 0.7500 [4 per cell]  3 C 2.00-2.02
C1 0.0000 0.1215 0.7500 [4 per cell]  1 Re 2.00
C2 0.2110 0.3716 0.7500 [8 per cell]  1 Re 2.02